1.
Compound: HfAlCu2
Source: OQMD
Functional: PBE
Structure: optimized geometry

Geometry as extended XYZ:
```
4
Lattice="0.000 3.092 3.092 3.092 0.000 3.092 3.092 3.092 0.000" Properties=species:S:1:pos:R:3 pbc="T T T"
Hf 0.000 0.000 0.000
Al 3.092 3.092 3.092
Cu 1.546 1.546 1.546
Cu 4.639 4.639 4.639
```

Computed properties:
SG ... Fm-3m, No. 225
Calculated volume ... 14.79 A^3/atom

2.
Compound: HfAlCu2
Source: OQMD
Functional: PBE
Structure: optimized geometry

Geometry as extended XYZ:
```
4
Lattice="0.000 3.106 3.106 3.106 0.000 3.106 3.106 3.106 0.000" Properties=species:S:1:pos:R:3 pbc="T T T"
Hf 0.000 0.000 0.000
Al 4.660 4.660 4.660
Cu 1.553 1.553 1.553
Cu 3.106 3.106 3.106
```

Computed properties:
SG ... F-43m, No. 216
Calculated volume ... 14.99 A^3/atom

3.
Compound: HfAlCu
Source: OQMD
Functional: PBE
Structure: optimized geometry

Geometry as extended XYZ:
```
12
Lattice="6.565 0.000 0.000 0.000 3.890 0.000 0.000 0.000 7.686" Properties=species:S:1:pos:R:3 pbc="T T T"
Hf 0.130 0.973 1.346
Hf 3.152 2.918 5.189
Hf 3.413 0.973 2.497
Hf 6.435 2.918 6.340
Al 1.013 0.973 4.323
Al 2.270 2.918 0.480
Al 4.295 0.973 7.206
Al 5.553 2.918 3.363
Cu 1.520 2.918 2.905
Cu 1.763 0.973 6.748
Cu 4.802 2.918 0.938
Cu 5.045 0.973 4.781
```

Computed properties:
SG ... Pnma, No. 62
Calculated volume ... 16.36 A^3/atom

4.
Compound: HfAlCu2
Source: OQMD
Functional: PBE
Structure: optimized geometry

Geometry as extended XYZ:
```
4
Lattice="-2.189 2.189 3.087 2.189 -2.189 3.087 2.189 2.189 -3.087" Properties=species:S:1:pos:R:3 pbc="T T T"
Hf 0.000 0.000 0.000
Al 0.000 0.000 3.087
Cu 2.189 0.000 1.543
Cu 0.000 2.189 1.543
```

Computed properties:
SG ... I4/mmm, No. 139
Calculated volume ... 14.79 A^3/atom

no.,E_tot (eV/atom)
1,-5.612
2,-5.389
3,-6.135
4,-5.612